Sr2CO: single point on PBEsol structure, SCAN.

Geometry as POSCAR:
```
Sr2CO
1.0
4.563 0.000 0.000
2.281 3.951 0.000
2.281 1.317 3.725
Sr C O
2 1 1
Cartesian
2.281 1.317 0.931
6.844 3.951 2.794
0.000 0.000 0.000
4.563 2.634 1.863
```

Properties
The calculation puts the calculated density at 5025 kg/m³. The value obtained for the formation energy without anion corrections is -479 meV/atom. The space-group type is Fm-3m, No. 225. The value obtained for the uncorrected energy is -0.577 Ha/atom. Its magnetization is 2.0 Bohr magnetons per cell.